{
  "formula": "SmTlMo2O8",
  "functional": "PBE with a Hubbard U",
  "state": "optimized geometry",
  "lattice": [[5.2016, 0.0000, 0.0000], [0.0000, 19.3654, 0.0000], [0.0000, 0.0000, 8.2488]],
  "species": ["Sm", "Sm", "Sm", "Sm", "Tl", "Tl", "Tl", "Tl", "Mo", "Mo", "Mo", "Mo", "Mo", "Mo", "Mo", "Mo", "O", "O", "O", "O", "O", "O", "O", "O", "O", "O", "O", "O", "O", "O", "O", "O", "O", "O", "O", "O", "O", "O", "O", "O", "O", "O", "O", "O", "O", "O", "O", "O"],
  "fractional_positions": [[0.0000, 0.0042, 0.2500], [0.0000, 0.9958, 0.7500], [0.5000, 0.4958, 0.7500], [0.5000, 0.5042, 0.2500], [0.0000, 0.2265, 0.7500], [0.0000, 0.7735, 0.2500], [0.5000, 0.2735, 0.2500], [0.5000, 0.7265, 0.7500], [0.0205, 0.4004, 0.0106], [0.0205, 0.5996, 0.5106], [0.4795, 0.0996, 0.5106], [0.4795, 0.9004, 0.0106], [0.5205, 0.0996, 0.9894], [0.5205, 0.9004, 0.4894], [0.9795, 0.4004, 0.4894], [0.9795, 0.5996, 0.9894], [0.1008, 0.3154, 0.4846], [0.1008, 0.6846, 0.9846], [0.2272, 0.4052, 0.8371], [0.2272, 0.5948, 0.3371], [0.2378, 0.4091, 0.1820], [0.2378, 0.5909, 0.6820], [0.2499, 0.0367, 0.0023], [0.2501, 0.4633, 0.5023], [0.2501, 0.5367, 0.0023], [0.2499, 0.9633, 0.5023], [0.2622, 0.0909, 0.6820], [0.2622, 0.9091, 0.1820], [0.2728, 0.0948, 0.3371], [0.2728, 0.9052, 0.8371], [0.3992, 0.1846, 0.9846], [0.3992, 0.8154, 0.4846], [0.6008, 0.1846, 0.5154], [0.6008, 0.8154, 0.0154], [0.7272, 0.0948, 0.1629], [0.7272, 0.9052, 0.6629], [0.7378, 0.0909, 0.8180], [0.7378, 0.9091, 0.3180], [0.7501, 0.0367, 0.4977], [0.7499, 0.4633, 0.9977], [0.7499, 0.5367, 0.4977], [0.7501, 0.9633, 0.9977], [0.7622, 0.4091, 0.3180], [0.7622, 0.5909, 0.8180], [0.7728, 0.4052, 0.6629], [0.7728, 0.5948, 0.1629], [0.8992, 0.3154, 0.0154], [0.8992, 0.6846, 0.5154]],
  "energy_ev_per_atom": -7.075,
  "rho_g_cm3": 5.39,
  "sg": "No. 60"
}